# Rb3BaV2O8 (GGA+U, relaxed)
# energy = -87.52 eV for the cell shown
# crystal system = trigonal
data_Rb3BaV2O8
_chemical_formula_sum 'Rb3 Ba1 V2 O8'
_symmetry_space_group_name_H-M 'P -3 m 1'
_symmetry_Int_Tables_number 164
_symmetry_space_group_name_Hall '-P 3 2"'
_cell_length_a 6.3987
_cell_length_b 6.3987
_cell_length_c 8.3910
_cell_angle_alpha 90.00
_cell_angle_beta 90.00
_cell_angle_gamma 120.00
loop_
_atom_site_label
_atom_site_type_symbol
_atom_site_fract_x
_atom_site_fract_y
_atom_site_fract_z
Rb1 Rb 0.0000 0.0000 0.0000
Rb2 Rb 0.3333 0.6667 0.7006
Ba1 Ba 0.0000 0.0000 0.5000
V1 V 0.3333 0.6667 0.2296
O1 O 0.1845 0.3690 0.2992
O2 O 0.3333 0.6667 0.0239